No. 1
First-principles (PBE) data for Na2SrH6Rh after structural relaxation, as listed in Alexandria via LeMat-Bulk.

Properties
- symmetry = P-3m1
- final energy (eV per cell) = -35.1

a = 6.3465 Å, b = 5.2011 Å, c = 5.2011 Å
α = 120.00°, β = 90.00°, γ = 90.00°
Closest atoms and distances in Å follow each position.
Atoms (fractional coordinates):
H 0.8414 0.1492 0.8508  1 Rh 1.68
H 0.8414 0.1492 0.2984  1 Rh 1.68
H 0.8414 0.7016 0.8508  1 Rh 1.68
H 0.1586 0.8508 0.1492  1 Rh 1.68
H 0.1586 0.8508 0.7016  1 Rh 1.68
H 0.1586 0.2984 0.1492  1 Rh 1.68
Rh 0.0000 0.0000 0.0000  6 H 1.68
Na 0.8992 0.6667 0.3333  3 H 2.34
Na 0.1008 0.3333 0.6667  3 H 2.34
Sr 0.5000 0.0000 0.0000  6 H 2.55

No. 2
First-principles (PBE) data for Na2SrH8Rh after structural relaxation, as listed in Alexandria via LeMat-Bulk.

Properties
- symmetry = P-3m1
- final energy (eV per cell) = -40.7

a = 4.8666 Å, b = 4.8666 Å, c = 6.6239 Å
α = 90.00°, β = 90.00°, γ = 120.00°
Closest atoms and distances in Å follow each position.
Atoms (fractional coordinates):
H 0.8441 0.1559 0.8447  1 Rh 1.67
H 0.1559 0.8441 0.1553  1 Rh 1.67
H 0.3117 0.1559 0.8447  1 Rh 1.67
H 0.8441 0.6883 0.8447  1 Rh 1.67
H 0.1559 0.3117 0.1553  1 Rh 1.67
H 0.6883 0.8441 0.1553  1 Rh 1.67
H 0.3333 0.6667 0.5093  1 Na 2.37
H 0.6667 0.3333 0.4907  1 Na 2.37
Na 0.6667 0.3333 0.1333  10 H 2.37-2.44
Na 0.3333 0.6667 0.8667  10 H 2.37-2.44
Rh 0.0000 0.0000 0.0000  6 H 1.67
Sr 0.0000 0.0000 0.5000  12 H 2.63-2.81

No. 3
First-principles (PBE) data for NaSr2HRh after structural relaxation, as listed in Alexandria via LeMat-Bulk.

Properties
- symmetry = P4/mmm
- final energy (eV per cell) = -15.8
- E above lowest polymorph (meV per atom) = 40

a = 5.1137 Å, b = 5.1137 Å, c = 4.3715 Å
α = 90.00°, β = 90.00°, γ = 90.00°
Closest atoms and distances in Å follow each position.
Atoms (fractional coordinates):
Na 0.0000 0.0000 0.5000  2 H 2.19
Sr 0.5000 0.0000 0.0000  2 H 2.56
Sr 0.0000 0.5000 0.0000  2 H 2.56
H 0.0000 0.0000 0.0000  2 Na 2.19
Rh 0.5000 0.5000 0.5000  8 Sr 3.36, 4 Na 3.62

no.,N(E_F) (states/eV/f.u.)
1,1.487
2,9.978
3,1.970